# SrGeBi2 (PBE, optimized geometry)
data_SrGeBi2
_chemical_formula_sum 'Sr3 Ge3 Bi6'
_space_group_name_H-M_alt 'R -3 m'
_space_group_IT_number 166
_space_group_name_Hall '-R 3 2"'
_cell_length_a 4.2285
_cell_length_b 4.2285
_cell_length_c 25.6826
_cell_angle_alpha 90.00
_cell_angle_beta 90.00
_cell_angle_gamma 120.00
loop_
_atom_site_label
_atom_site_type_symbol
_atom_site_fract_x
_atom_site_fract_y
_atom_site_fract_z
_atom_site_occupancy
Sr1 Sr 0.0000 0.0000 0.0000 1
Ge1 Ge 0.0000 0.0000 0.5000 1
Bi1 Bi 0.0000 0.0000 0.2341 1
# **E**: -3.650 eV per atom
# **ΔH_f (0 K)**: -135 meV/atom
# **Density**: 7.243 Mg/m³